1.
A relaxed structure of RbP2W2. Source: Alexandria via LeMat-Bulk, functional PBE-GGA.

The structure in extended XYZ format:
```
10
Lattice="-2.821 -2.551 7.199 -3.509 -6.383 -3.637 2.529 -1.626 0.414" Properties=species:S:1:pos:R:3 pbc="T T T"
P -1.418 -5.315 -1.089
P -3.554 -7.910 1.759
P -2.383 -5.246 5.065
P -0.247 -2.651 2.218
Rb 0.000 0.000 0.000
Rb -3.165 -4.467 1.781
W -4.268 -6.739 -0.404
W -4.646 -6.137 4.265
W -2.062 -2.195 3.966
W -1.684 -2.797 -0.703
```

Computed properties:
For the electronic total energy, the calculation gives -0.258 Ha/atom. As for the density of states at the Fermi level: 5.1 states/eV per cell. The formation energy is 0.530 eV per atom.

2.
A relaxed structure of RbP2W. Source: Alexandria via LeMat-Bulk, functional PBE-GGA.

The structure in extended XYZ format:
```
4
Lattice="0.000 3.359 3.359 3.359 0.000 3.359 3.359 3.359 0.000" Properties=species:S:1:pos:R:3 pbc="T T T"
P 1.679 1.679 1.679
P 5.038 5.038 5.038
Rb 0.000 0.000 0.000
W 3.359 3.359 3.359
```

Computed properties:
The calculation puts the energy above the most stable polymorph in this dataset at 1100 meV/atom. For the electronic total energy, the calculation gives -0.191 Ha/atom. As for the density of states at the Fermi level: 1.8 states/eV per cell. The formation energy is 0.990 eV per atom.

3.
A relaxed structure of RbPW3. Source: Alexandria via LeMat-Bulk, functional PBE-GGA.

The structure in extended XYZ format:
```
5
Lattice="4.726 0.000 0.000 0.000 4.726 0.000 0.000 0.000 4.726" Properties=species:S:1:pos:R:3 pbc="T T T"
P 2.363 2.363 2.363
Rb 0.000 0.000 0.000
W 0.000 2.363 0.000
W 0.000 0.000 2.363
W 2.363 0.000 0.000
```

Computed properties:
The calculation puts the energy above the most stable polymorph in this dataset at 2498 meV/atom. For the electronic total energy, the calculation gives -0.178 Ha/atom. As for the density of states at the Fermi level: 8.0 states/eV per cell. The formation energy is 4.195 eV per atom.

4.
A relaxed structure of RbZnP2W. Source: Alexandria via LeMat-Bulk, functional PBE-GGA.

The structure in extended XYZ format:
```
5
Lattice="5.081 0.000 0.000 0.000 4.939 0.000 0.000 0.000 5.081" Properties=species:S:1:pos:R:3 pbc="T T T"
P 0.000 0.000 2.540
P 2.540 0.000 0.000
Zn 0.000 2.469 0.000
Rb 0.000 0.000 0.000
W 2.540 2.469 2.540
```

Computed properties:
For the electronic total energy, the calculation gives -0.087 Ha/atom. As for the density of states at the Fermi level: 4.7 states/eV per cell. The formation energy is 2.842 eV per atom.

5.
A relaxed structure of RbZrPW2. Source: Alexandria via LeMat-Bulk, functional PBE-GGA.

The structure in extended XYZ format:
```
5
Lattice="4.716 0.000 0.000 0.000 4.979 0.000 0.000 0.000 4.716" Properties=species:S:1:pos:R:3 pbc="T T T"
P 2.358 2.489 2.358
Rb 0.000 0.000 0.000
Zr 0.000 2.489 0.000
W 0.000 0.000 2.358
W 2.358 0.000 0.000
```

Computed properties:
For the electronic total energy, the calculation gives -0.175 Ha/atom. As for the density of states at the Fermi level: 3.4 states/eV per cell. The formation energy is 3.401 eV per atom.

6.
A relaxed structure of RbYP3. Source: Alexandria via LeMat-Bulk, functional PBE-GGA.

The structure in extended XYZ format:
```
5
Lattice="5.380 0.000 0.000 0.000 5.380 0.000 0.000 0.000 5.380" Properties=species:S:1:pos:R:3 pbc="T T T"
Y 0.000 0.000 0.000
P 0.000 2.690 0.000
P 0.000 0.000 2.690
P 2.690 0.000 0.000
Rb 2.690 2.690 2.690
```

Computed properties:
The calculation puts the energy above the most stable polymorph in this dataset at 0 meV/atom. For the electronic total energy, the calculation gives -0.171 Ha/atom. As for the density of states at the Fermi level: 6.9 states/eV per cell. The formation energy is 0.093 eV per atom.

7.
A relaxed structure of RbYP3. Source: Alexandria via LeMat-Bulk, functional PBE-GGA.

The structure in extended XYZ format:
```
5
Lattice="-2.112 -4.527 -1.135 3.052 -2.282 3.424 -3.532 0.735 3.638" Properties=species:S:1:pos:R:3 pbc="T T T"
Y -1.296 -3.037 2.963
P 1.526 -1.141 1.712
P -1.766 0.368 1.819
P -1.056 -2.264 -0.568
Rb 0.000 0.000 0.000
```

Computed properties:
The calculation puts the energy above the most stable polymorph in this dataset at 1194 meV/atom. For the electronic total energy, the calculation gives -0.127 Ha/atom. As for the density of states at the Fermi level: 2.8 states/eV per cell. The formation energy is 1.287 eV per atom.

8.
A relaxed structure of RbY3P. Source: Alexandria via LeMat-Bulk, functional PBE-GGA.

The structure in extended XYZ format:
```
5
Lattice="-1.179 -2.024 5.037 1.474 -5.080 -1.696 5.224 0.977 1.616" Properties=species:S:1:pos:R:3 pbc="T T T"
Y 0.737 -2.540 -0.848
Y 2.612 0.488 0.808
Y -0.590 -1.012 2.518
P 0.000 0.000 0.000
Rb 2.759 -3.063 2.478
```

Computed properties:
The calculation puts the energy above the most stable polymorph in this dataset at 0 meV/atom. For the electronic total energy, the calculation gives -0.194 Ha/atom. As for the density of states at the Fermi level: 9.8 states/eV per cell. The formation energy is -0.122 eV per atom.

9.
A relaxed structure of RbYP2. Source: Alexandria via LeMat-Bulk, functional PBE-GGA.

The structure in extended XYZ format:
```
4
Lattice="1.867 -4.491 -1.731 -2.246 -4.436 1.388 -2.667 -2.739 -3.470" Properties=species:S:1:pos:R:3 pbc="T T T"
Y -1.523 -5.833 -1.907
P -0.761 -2.917 -0.953
P -2.284 -8.750 -2.860
Rb 0.000 0.000 0.000
```

Computed properties:
The calculation puts the energy above the most stable polymorph in this dataset at 211 meV/atom. For the electronic total energy, the calculation gives -0.174 Ha/atom. As for the density of states at the Fermi level: 6.1 states/eV per cell. The formation energy is -0.161 eV per atom.

10.
A relaxed structure of RbYP2. Source: Alexandria via LeMat-Bulk, functional PBE-GGA.

The structure in extended XYZ format:
```
8
Lattice="5.762 0.000 0.000 0.000 5.762 0.000 2.881 2.881 8.815" Properties=species:S:1:pos:R:3 pbc="T T T"
Y 0.000 0.000 0.000
Y 5.762 2.881 4.407
P 5.433 1.440 2.204
P 6.090 4.321 2.204
P 4.321 3.209 6.611
P 7.202 2.552 6.611
Rb 2.881 2.881 0.000
Rb 2.881 5.762 4.407
```

Computed properties:
The calculation puts the energy above the most stable polymorph in this dataset at 0 meV/atom. For the electronic total energy, the calculation gives -0.181 Ha/atom. As for the density of states at the Fermi level: 0.8 states/eV per cell. The formation energy is -0.372 eV per atom.

11.
A relaxed structure of Rb2YP. Source: Alexandria via LeMat-Bulk, functional PBE-GGA.

The structure in extended XYZ format:
```
8
Lattice="-2.561 2.165 12.864 -12.908 1.475 -2.818 -8.112 -0.793 5.388" Properties=species:S:1:pos:R:3 pbc="T T T"
Y 0.000 0.000 0.000
Y -9.204 1.596 11.637
P -7.734 1.820 5.023
P -14.377 1.251 3.796
Rb -4.807 0.972 6.852
Rb -10.850 1.362 3.377
Rb -14.075 1.021 7.330
Rb -17.429 2.340 13.309
```

Computed properties:
For the electronic total energy, the calculation gives -0.130 Ha/atom. As for the density of states at the Fermi level: 0.9 states/eV per cell. The formation energy is -0.098 eV per atom.

12.
A relaxed structure of RbY2P2. Source: Alexandria via LeMat-Bulk, functional PBE-GGA.

The structure in extended XYZ format:
```
5
Lattice="-4.695 -0.832 -1.420 -0.534 -3.292 3.692 -4.860 3.184 5.488" Properties=species:S:1:pos:R:3 pbc="T T T"
Y -6.085 0.145 2.602
Y -4.004 -1.085 5.158
P -3.362 -0.315 2.585
P -6.727 -0.624 5.175
Rb 0.000 0.000 0.000
```

Computed properties:
For the electronic total energy, the calculation gives -0.214 Ha/atom. As for the density of states at the Fermi level: 4.6 states/eV per cell. The formation energy is -0.887 eV per atom.